Material: Sm2Dy9Mg
Method: DFT, GGA-PBE
State: relaxed

abc: 4.991 4.991 15.042
angles: 90.00 90.00 90.00
Atoms (fractional coordinates):
Dy1 0.500 0.500 0.000
Dy2 0.500 0.500 0.671
Dy3 0.000 0.500 0.837
Dy4 0.500 0.000 0.163
Dy5 0.500 0.000 0.837
Dy6 0.500 0.500 0.329
Dy7 0.000 0.500 0.163
Dy8 0.500 0.000 0.500
Dy9 0.000 0.500 0.500
Mg1 0.000 0.000 0.000
Sm1 0.000 0.000 0.669
Sm2 0.000 0.000 0.331

Properties
Formation energy, kJ/mol of atoms: 2.16
SG: P4/mmm